A relaxed ZrTl2Au crystal, computed with GGA-PBEsol.

Summary:
The value obtained for the density of states at the Fermi level is 0.7624 states/eV per atom. The value obtained for the formation energy from the elements is 0.0 eV/f.u. The calculation puts the total magnetization at 0.0 Bohr magnetons per cell.

The structure in CIF format:
```
data_ZrTl2Au
_chemical_formula_sum 'Zr1 Tl2 Au1'
_space_group_name_H-M_alt 'P 1'
_space_group_IT_number 1
_cell_length_a 3.194
_cell_length_b 5.408
_cell_length_c 5.933
_cell_angle_alpha 117.11
_cell_angle_beta 105.61
_cell_angle_gamma 90.00
loop_
_space_group_symop_operation_xyz
'x,y,z'
loop_
_atom_site_label
_atom_site_type_symbol
_atom_site_fract_x
_atom_site_fract_y
_atom_site_fract_z
Zr1 Zr 0.500 0.000 0.000
Tl1 Tl 0.738 0.738 0.476
Tl2 Tl 0.262 0.262 0.524
Au1 Au 0.000 0.500 0.000
```